No. 1
Below is a geometry-optimized In2GeS6 structure, with properties calculated at the PBE-GGA level.

abc: 6.0514 6.0514 11.3427
angles: 90.00 90.00 90.00
Space group P4_2/mnm (No. 136)
Inequivalent atoms, fractional coordinates:
In: 0.0000 0.0000 0.1669 [4 per cell]
Ge: 0.0000 0.0000 0.5000 [2 per cell]
S: 0.1870 0.1870 0.3450 [8 per cell]
S: 0.2087 0.2087 0.0000 [4 per cell]

Properties
For the volume, the calculation gives 23.08 A^3/atom.

***

No. 2
Below is a geometry-optimized In2GeS5 structure, with properties calculated at the PBE-GGA level.

abc: 5.2995 12.6533 11.6812
angles: 90.00 90.00 90.00
Space group Cmcm (No. 63)
Inequivalent atoms, fractional coordinates:
In: 0.0000 0.1521 0.0684 [8 per cell]
Ge: 0.0000 0.1928 0.7500 [4 per cell]
S: 0.0000 0.0550 0.6181 [8 per cell]
S: 0.0000 0.2684 0.2500 [4 per cell]
S: 0.0000 0.3165 0.5921 [8 per cell]

Properties
For the volume, the calculation gives 24.48 A^3/atom.

***

No. 3
Below is a geometry-optimized In2GeS structure, with properties calculated at the PBE-GGA level.

abc: 6.0890 6.0890 12.4516
angles: 90.00 90.00 90.00
Space group I-42d (No. 122)
Inequivalent atoms, fractional coordinates:
In: 0.2434 0.2500 0.1250 [8 per cell]
Ge: 0.0000 0.0000 0.0000 [4 per cell]
S: 0.0000 0.0000 0.5000 [4 per cell]

Properties
For the volume, the calculation gives 28.85 A^3/atom.

***

| no. | formation energy (no corrections) (eV/f.u.) | D(E_F) (states/eV/f.u.) |
| --- | --- | --- |
| 1 | -0.30 | 9.85 |
| 2 | -2.17 | 0.97 |
| 3 | -0.87 | 0.27 |